{"formula": "Te2OsAu", "functional": "GGA-PBE", "state": "optimized geometry", "energy_ev_per_cell": -20.08, "m_tot_mub_per_fu": 0.00, "raw_formation_energy_mev_per_atom": 177, "polymorph_energy_ev_per_fu": 0.000, "lattice": [[1.990, 1.149, 7.961], [-1.990, 1.149, 7.961], [0.000, -2.297, 7.961]], "species": ["Te", "Te", "Os", "Au"], "fractional_positions": [[0.110, 0.110, 0.110], [0.890, 0.890, 0.890], [0.500, 0.500, 0.500], [0.000, 0.000, 0.000]]}

---

{"formula": "HfAl2Pt9", "functional": "GGA-PBE", "state": "optimized geometry", "energy_ev_per_cell": -82.01, "m_tot_mub_per_fu": 0.00, "lattice": [[3.967, 0.000, 0.000], [0.000, 3.967, 0.000], [0.000, 0.000, 11.826]], "species": ["Hf", "Al", "Al", "Pt", "Pt", "Pt", "Pt", "Pt", "Pt", "Pt", "Pt", "Pt"], "fractional_positions": [[0.000, 0.000, 0.000], [0.000, 0.000, 0.339], [0.000, 0.000, 0.661], [0.000, 0.500, 0.171], [0.000, 0.500, 0.500], [0.000, 0.500, 0.829], [0.500, 0.000, 0.171], [0.500, 0.000, 0.500], [0.500, 0.000, 0.829], [0.500, 0.500, 0.000], [0.500, 0.500, 0.336], [0.500, 0.500, 0.664]]}

---

{"formula": "Sn3Te2S2", "functional": "GGA-PBE", "state": "optimized geometry", "energy_ev_per_cell": -28.58, "m_tot_mub_per_fu": 0.00, "raw_formation_energy_mev_per_atom": -290, "lattice": [[7.695, -2.058, 0.000], [7.695, 2.058, 0.000], [-2.238, 0.000, 6.668]], "species": ["Sn", "Sn", "Sn", "Te", "Te", "S", "S"], "fractional_positions": [[0.000, 0.000, 0.000], [0.254, 0.254, 0.239], [0.746, 0.746, 0.761], [0.393, 0.393, 0.691], [0.607, 0.607, 0.309], [0.150, 0.150, 0.856], [0.850, 0.850, 0.144]]}

---

{"formula": "PmPr3Sc", "functional": "GGA-PBE", "state": "optimized geometry", "energy_ev_per_cell": -99.78, "m_tot_mub_per_fu": 0.00, "polymorph_energy_ev_per_fu": 0.000, "lattice": [[10.140, -4.985, 0.000], [10.140, 4.985, 0.000], [-0.479, 0.000, 6.693]], "species": ["Pm", "Pm", "Pm", "Pm", "Pr", "Pr", "Pr", "Pr", "Pr", "Pr", "Pr", "Pr", "Pr", "Pr", "Pr", "Pr", "Sc", "Sc", "Sc", "Sc"], "fractional_positions": [[0.097, 0.903, 0.750], [0.249, 0.751, 0.250], [0.751, 0.249, 0.750], [0.903, 0.097, 0.250], [0.045, 0.259, 0.579], [0.084, 0.587, 0.930], [0.259, 0.045, 0.079], [0.362, 0.486, 0.609], [0.413, 0.916, 0.570], [0.486, 0.362, 0.109], [0.514, 0.638, 0.891], [0.587, 0.084, 0.430], [0.638, 0.514, 0.391], [0.741, 0.955, 0.921], [0.916, 0.413, 0.070], [0.955, 0.741, 0.421], [0.224, 0.344, 0.316], [0.344, 0.224, 0.816], [0.656, 0.776, 0.184], [0.776, 0.656, 0.684]]}

---

{"formula": "NpTlGe2", "functional": "GGA-PBE", "state": "optimized geometry", "energy_ev_per_cell": -23.48, "m_tot_mub_per_fu": 4.26, "polymorph_energy_ev_per_fu": 1.136, "lattice": [[2.553, 1.474, 4.060], [-2.553, 1.474, 4.060], [0.000, -2.948, 4.060]], "species": ["Np", "Tl", "Ge", "Ge"], "fractional_positions": [[0.000, 0.000, 0.000], [0.500, 0.500, 0.500], [0.251, 0.251, 0.251], [0.749, 0.749, 0.749]]}

---

{"formula": "Na3SmF6", "functional": "GGA-PBE", "state": "optimized geometry", "energy_ev_per_cell": -104.96, "m_tot_mub_per_fu": 0.11, "raw_formation_energy_mev_per_atom": -3257, "polymorph_energy_ev_per_fu": 0.000, "lattice": [[9.151, 0.000, 0.000], [0.000, 3.641, 0.000], [-4.554, 0.000, 8.185]], "species": ["Na", "Na", "Na", "Na", "Na", "Na", "Sm", "Sm", "F", "F", "F", "F", "F", "F", "F", "F", "F", "F", "F", "F"], "fractional_positions": [[0.039, 0.250, 0.183], [0.160, 0.250, 0.637], [0.361, 0.750, 0.482], [0.639, 0.250, 0.518], [0.840, 0.750, 0.363], [0.961, 0.750, 0.817], [0.368, 0.250, 0.096], [0.632, 0.750, 0.904], [0.124, 0.250, 0.856], [0.129, 0.750, 0.484], [0.193, 0.750, 0.096], [0.353, 0.250, 0.342], [0.382, 0.750, 0.930], [0.458, 0.250, 0.733], [0.542, 0.750, 0.267], [0.618, 0.250, 0.070], [0.647, 0.750, 0.658], [0.807, 0.250, 0.904], [0.871, 0.250, 0.516], [0.876, 0.750, 0.144]]}

---

Number 5 is which compound?
NpTlGe2